# Pr4HoN5 | Alexandria | PBE | optimized geometry
# energy = -0.28987 Ha/atom
# formation energy without anion corrections = -1356 meV per atom
# M_tot = 0.0000 μB per atom
data_Pr4HoN5
_cell_length_a 8.104
_cell_length_b 8.104
_cell_length_c 5.240
_cell_angle_alpha 90.00
_cell_angle_beta 90.00
_cell_angle_gamma 90.00
_symmetry_space_group_name_H-M 'I 4'
_symmetry_Int_Tables_number 79
loop_
_symmetry_equiv_pos_as_xyz
'x,y,z'
'-y,x,z'
'-x,-y,z'
'y,-x,z'
'x+1/2,y+1/2,z+1/2'
'-y+1/2,x+1/2,z+1/2'
'-x+1/2,-y+1/2,z+1/2'
'y+1/2,-x+1/2,z+1/2'
loop_
_atom_site_label
_atom_site_fract_x
_atom_site_fract_y
_atom_site_fract_z
Pr1 0.101 0.298 0.000
Ho1 0.000 0.000 0.491
N1 0.000 0.000 0.049
N2 0.097 0.291 0.522